# 1
This record from the Alexandria database describes a relaxed structure of Hf3CuSb. The functional is PBE.

Unit cell a=4.8519 b=4.8519 c=4.8519 alpha=90.00 beta=90.00 gamma=90.00
Element x y z (fractional)
Sb  0.5000  0.5000  0.5000
Hf  0.0000  0.5000  0.0000
Hf  0.0000  0.0000  0.5000
Hf  0.5000  0.0000  0.0000
Cu  0.0000  0.0000  0.0000

Computed properties:
DFT total energy ... -7.370 eV per atom
Formation energy without anion corrections ... 0.246 eV per atom
Total magnetic moment ... 0.00 μB per cell

# 2
This record from the Alexandria database describes a relaxed structure of HfCu2Sb. The functional is PBE.

Unit cell a=4.0801 b=4.0845 c=4.0845 alpha=90.00 beta=90.00 gamma=90.00
Element x y z (fractional)
Sb  0.5000  0.0000  0.0000
Hf  0.5000  0.5000  0.5000
Cu  0.0000  0.0000  0.5000
Cu  0.0000  0.5000  0.0000

Computed properties:
DFT total energy ... -5.729 eV per atom
Formation energy without anion corrections ... -0.162 eV per atom
Total magnetic moment ... 0.00 μB per cell

# 3
This record from the Alexandria database describes a relaxed structure of Hf8Cu2Sb. The functional is PBE.

Unit cell a=4.9496 b=7.3187 c=7.3187 alpha=114.82 beta=98.92 gamma=98.92
Element x y z (fractional)
Hf  0.9033  0.9195  0.6780
Hf  0.9033  0.6780  0.9195
Hf  0.3097  0.6012  0.6012
Hf  0.5000  0.7558  0.2442
Hf  0.5000  0.2442  0.7558
Hf  0.6903  0.3988  0.3988
Hf  0.0967  0.3220  0.0805
Hf  0.0967  0.0805  0.3220
Cu  0.0000  0.3089  0.6911
Cu  0.0000  0.6911  0.3089
Sb  0.5000  0.0000  0.0000

Computed properties:
DFT total energy ... -8.377 eV per atom
Formation energy without anion corrections ... -0.019 eV per atom
Total magnetic moment ... 0.00 μB per cell

# 4
This record from the Alexandria database describes a relaxed structure of Hf2ScCuSb. The functional is PBE.

Unit cell a=5.2412 b=5.2003 c=5.2412 alpha=90.00 beta=90.00 gamma=90.00
Element x y z (fractional)
Sc  0.0000  0.5000  0.0000
Sb  0.0000  0.0000  0.0000
Hf  0.0000  0.0000  0.5000
Hf  0.5000  0.0000  0.0000
Cu  0.5000  0.5000  0.5000

Computed properties:
DFT total energy ... -5.917 eV per atom
Formation energy without anion corrections ... 0.975 eV per atom
Total magnetic moment ... 0.00 μB per cell

# 5
This record from the Alexandria database describes a relaxed structure of HfTaCuSb2. The functional is PBE.

Unit cell a=4.9264 b=4.7403 c=4.9264 alpha=90.00 beta=90.00 gamma=90.00
Element x y z (fractional)
Sb  0.0000  0.0000  0.5000
Sb  0.5000  0.0000  0.0000
Hf  0.5000  0.5000  0.5000
Cu  0.0000  0.0000  0.0000
Ta  0.0000  0.5000  0.0000

Computed properties:
DFT total energy ... -5.975 eV per atom
Formation energy without anion corrections ... 0.855 eV per atom
Total magnetic moment ... 0.00 μB per cell

# 6
This record from the Alexandria database describes a relaxed structure of HfCuSb2Te. The functional is PBE.

Unit cell a=5.5127 b=5.5127 c=5.4678 alpha=90.00 beta=90.00 gamma=90.00
Element x y z (fractional)
Sb  0.0000  0.5000  0.0000
Sb  0.5000  0.0000  0.0000
Te  0.0000  0.0000  0.5000
Hf  0.0000  0.0000  0.0000
Cu  0.5000  0.5000  0.5000

Computed properties:
DFT total energy ... -4.535 eV per atom
Formation energy without anion corrections ... 0.552 eV per atom
Total magnetic moment ... 0.00 μB per cell

Copy entry 6 word for word.
This record from the Alexandria database describes a relaxed structure of HfCuSb2Te. The functional is PBE.

Unit cell a=5.5127 b=5.5127 c=5.4678 alpha=90.00 beta=90.00 gamma=90.00
Element x y z (fractional)
Sb  0.0000  0.5000  0.0000
Sb  0.5000  0.0000  0.0000
Te  0.0000  0.0000  0.5000
Hf  0.0000  0.0000  0.0000
Cu  0.5000  0.5000  0.5000

Computed properties:
DFT total energy ... -4.535 eV per atom
Formation energy without anion corrections ... 0.552 eV per atom
Total magnetic moment ... 0.00 μB per cell